Record 1
DFT (meta-GGA SCAN) results for a crystal of Ta2SiMo relaxed with PBEsol.

Properties
SG = No. 99
total energy = -44.468 eV per atom

abc: 2.7694 2.7694 8.3135
angles: 90.00 90.00 90.00
Element x y z (fractional)
Mo (0.0000, 0.0000, 0.5275)
Si (0.5000, 0.5000, 0.7431)
Ta (0.0000, 0.0000, 0.9727)
Ta (0.5000, 0.5000, 0.2567)



Record 2
DFT (meta-GGA SCAN) results for a crystal of Sr2Mg relaxed with PBEsol.

Properties
calculated formation energy = 0.00 eV/atom
SG = No. 12

abc: 4.0827 7.3631 9.7090
angles: 61.36 77.86 73.90
Element x y z (fractional)
Sr (0.5267, 0.1686, 0.7781)
Sr (0.8247, 0.7162, 0.6345)
Sr (0.1753, 0.2838, 0.3655)
Sr (0.4733, 0.8314, 0.2219)
Mg (0.8250, 0.3091, 0.0410)
Mg (0.1750, 0.6909, 0.9590)



Record 3
DFT (meta-GGA SCAN) results for a crystal of Ba2AsAu relaxed with PBEsol.

Properties
calculated formation energy = -1.02 eV/atom
SG = No. 123

abc: 4.0212 5.5332 5.5332
angles: 90.00 90.00 90.00
Element x y z (fractional)
As (0.0000, 0.0000, 0.0000)
Au (0.0000, 0.5000, 0.5000)
Ba (0.5001, 0.5000, 0.0000)
Ba (0.4999, 0.0000, 0.5000)



Record 4
DFT (meta-GGA SCAN) results for a crystal of RbLiN3 relaxed with PBEsol.

Properties
SG = No. 221
total energy = -8.621 eV per atom

abc: 4.2934 4.2934 4.2934
angles: 90.00 90.00 90.00
Last column: magnetic moment on the atom in μB.
Element x y z (fractional)
Li (0.0000, 0.0000, 0.0000)  -0.01
Rb (0.5000, 0.5000, 0.5000)  0.06
N (0.0000, 0.5000, 0.0000)  1.57
N (0.0000, 0.0000, 0.5000)  1.57
N (0.5000, 0.0000, 0.0000)  1.57



Record 5
DFT (meta-GGA SCAN) results for a crystal of IrOsRu2 relaxed with PBEsol.

Properties
calculated formation energy = 0.03 eV/atom
SG = No. 8

abc: 2.6807 4.6462 4.6520
angles: 99.58 90.00 106.77
Element x y z (fractional)
Ru (0.9996, 0.9992, 0.0010)
Ru (0.7493, 0.4985, 0.2460)
Ir (0.5006, 0.0013, 0.5002)
Os (0.2505, 0.5009, 0.7530)



Record 6
DFT (meta-GGA SCAN) results for a crystal of TlPtCl relaxed with PBEsol.

Properties
SG = No. 44
total energy = -50.018 eV per atom

abc: 3.1599 3.5546 5.9009
angles: 107.53 105.53 90.00
Element x y z (fractional)
Tl (0.3086, 0.3086, 0.6172)
Pt (0.6734, 0.6734, 0.3468)
Cl (0.0180, 0.0180, 0.0360)



Record 7
DFT (meta-GGA SCAN) results for a crystal of Tl5Cd relaxed with PBEsol.

Properties
calculated formation energy = 0.04 eV/atom
SG = No. 38

abc: 3.6325 5.4225 8.4668
angles: 90.00 102.39 90.00
Element x y z (fractional)
Cd (0.9887, 0.0000, 0.9773)
Tl (0.3287, 0.0000, 0.6574)
Tl (0.6512, 0.0000, 0.3024)
Tl (0.4572, 0.5000, 0.9144)
Tl (0.7878, 0.5000, 0.5755)
Tl (0.1198, 0.5000, 0.2396)



Record 8
DFT (meta-GGA SCAN) results for a crystal of Mg3Al14O24 relaxed with PBEsol.

Properties
SG = No. 8
total energy = -9.974 eV per atom

abc: 5.6982 8.0375 9.7361
angles: 113.44 107.02 90.00
Element x y z (fractional)
Mg (0.4201, 0.5437, 0.8403)
Mg (0.0856, 0.2057, 0.1712)
Mg (0.9130, 0.7887, 0.8259)
Al (0.3298, 0.8354, 0.6596)
Al (0.8328, 0.3333, 0.6655)
Al (0.0044, 0.4993, 0.0088)
Al (0.6689, 0.1691, 0.8343)
Al (0.5012, 0.9965, 0.0023)
Al (0.6652, 0.1623, 0.3304)
Al (0.7528, 0.8739, 0.5056)
Al (0.3318, 0.8263, 0.1727)
Al (0.1653, 0.1691, 0.8343)
Al (0.8409, 0.8263, 0.1727)
Al (0.0049, 0.5114, 0.4941)
Al (0.5812, 0.4607, 0.1624)
Al (0.4891, 0.5114, 0.4941)
Al (0.2464, 0.1276, 0.4928)
O (0.3267, 0.5965, 0.6534)
O (0.1351, 0.3970, 0.8275)
O (0.9781, 0.2508, 0.4982)
O (0.8196, 0.5491, 0.6391)
O (0.9905, 0.2504, 0.9809)
O (0.8374, 0.0938, 0.6748)
O (0.5200, 0.2508, 0.4982)
O (0.6924, 0.3970, 0.8275)
O (0.6383, 0.9396, 0.8365)
O (0.8036, 0.0675, 0.1685)
O (0.3367, 0.0881, 0.6735)
O (0.4949, 0.2410, 0.9897)
O (0.5113, 0.7761, 0.0226)
O (0.6649, 0.9154, 0.3298)
O (0.1982, 0.9396, 0.8365)
O (0.3649, 0.0675, 0.1685)
O (0.3263, 0.5826, 0.1495)
O (0.5128, 0.7539, 0.5206)
O (0.0095, 0.7418, 0.0190)
O (0.1598, 0.9243, 0.3197)
O (0.1801, 0.4215, 0.3602)
O (0.8232, 0.5826, 0.1495)
O (0.0078, 0.7539, 0.5206)
O (0.6689, 0.4122, 0.3378)



Record 9
DFT (meta-GGA SCAN) results for a crystal of BaPPd2 relaxed with PBEsol.

Properties
calculated formation energy = -0.86 eV/atom
SG = No. 141

abc: 5.1400 5.1400 8.4747
angles: 107.65 107.65 90.00
Element x y z (fractional)
P (0.5000, 0.5000, 0.0000)
P (0.7500, 0.2500, 0.5000)
Ba (0.0000, 0.0000, 0.0000)
Ba (0.2500, 0.7500, 0.5000)
Pd (0.6250, 0.3750, 0.7500)
Pd (0.1250, 0.3750, 0.7500)
Pd (0.6250, 0.8750, 0.2500)
Pd (0.6250, 0.3750, 0.2500)



Record 10
DFT (meta-GGA SCAN) results for a crystal of Rb2AlInI6 relaxed with PBEsol.

Properties
SG = No. 225
total energy = -31.284 eV per atom

abc: 8.3691 8.3691 8.3691
angles: 60.00 60.00 60.00
Element x y z (fractional)
I (0.7672, 0.2328, 0.2328)
I (0.7672, 0.7672, 0.2328)
I (0.2328, 0.7672, 0.7672)
I (0.7672, 0.2328, 0.7672)
I (0.2328, 0.7672, 0.2328)
I (0.2328, 0.2328, 0.7672)
Al (0.0000, 0.0000, 0.0000)
Rb (0.7500, 0.7500, 0.7500)
Rb (0.2500, 0.2500, 0.2500)
In (0.5000, 0.5000, 0.5000)



Record 11
DFT (meta-GGA SCAN) results for a crystal of CrIrPt2 relaxed with PBEsol.

Properties
calculated formation energy = -0.21 eV/atom
SG = No. 99

abc: 2.6922 2.6922 7.6316
angles: 90.00 90.00 90.00
Element x y z (fractional)
Cr (0.0000, 0.0000, 0.5085)
Ir (0.5000, 0.5000, 0.7262)
Pt (0.0000, 0.0000, 0.9949)
Pt (0.5000, 0.5000, 0.2704)



Record 12
DFT (meta-GGA SCAN) results for a crystal of KLi2Rh relaxed with PBEsol.

Properties
calculated formation energy = 0.36 eV/atom
SG = No. 160

abc: 2.9535 2.9535 10.5820
angles: 81.98 81.98 60.00
Last column: magnetic moment on the atom in μB.
Element x y z (fractional)
K (0.2367, 0.2367, 0.2900)  0.01
Li (0.0109, 0.0109, 0.9672)  0.00
Li (0.7627, 0.7627, 0.7120)  0.00
Rh (0.4898, 0.4898, 0.5307)  0.06



Question: Number 8 is which compound?
Answer: Mg3Al14O24



Question: What is the formula in the ninth record?
Answer: BaPPd2